No. 1
# BaTl2P | the Alexandria database | PBE-GGA | relaxed
# - E_form (eV/atom) = -0.27
# - DFT total energy (eV per atom) = -3.288
# - density (Mg/m³) = 7.57
data_BaTl2P
_chemical_formula_sum 'Ba2 Tl4 P2'
_space_group_name_H-M_alt 'P 1'
_space_group_IT_number 1
_space_group_name_Hall 'P 1'
_cell_length_a 4.358
_cell_length_b 5.359
_cell_length_c 10.846
_cell_angle_alpha 90.00
_cell_angle_beta 90.00
_cell_angle_gamma 90.00
loop_
_atom_site_label
_atom_site_fract_x
_atom_site_fract_y
_atom_site_fract_z
Ba1 0.000 0.000 0.000
Ba2 0.500 0.500 0.500
Tl1 0.000 0.000 0.394
Tl2 0.000 0.500 0.207
Tl3 0.500 0.000 0.707
Tl4 0.500 0.500 0.894
P1 0.000 0.500 0.730
P2 0.500 0.000 0.230

***

No. 2
# Ba2TlP2 | the Alexandria database | PBE-GGA | relaxed
# - E_form (eV/atom) = -0.45
# - DFT total energy (eV per atom) = -3.853
# - density (Mg/m³) = 5.62
data_Ba2TlP2
_chemical_formula_sum 'Ba4 Tl2 P4'
_space_group_name_H-M_alt 'P 1'
_space_group_IT_number 1
_space_group_name_Hall 'P 1'
_cell_length_a 9.243
_cell_length_b 9.243
_cell_length_c 3.740
_cell_angle_alpha 90.00
_cell_angle_beta 90.00
_cell_angle_gamma 90.00
loop_
_atom_site_label
_atom_site_fract_x
_atom_site_fract_y
_atom_site_fract_z
Ba1 0.135 0.365 0.000
Ba2 0.365 0.865 0.000
Ba3 0.635 0.135 0.000
Ba4 0.865 0.635 0.000
Tl1 0.000 0.000 0.000
Tl2 0.500 0.500 0.000
P1 0.165 0.665 0.500
P2 0.335 0.165 0.500
P3 0.665 0.835 0.500
P4 0.835 0.335 0.500

***

No. 3
# BaTlV2P | the Alexandria database | PBE-GGA | relaxed
# - E_form (eV/atom) = 2.28
# - DFT total energy (eV per atom) = -3.306
# - density (Mg/m³) = 4.64
data_BaTlV2P
_chemical_formula_sum 'Ba1 Tl1 V2 P1'
_space_group_name_H-M_alt 'P 1'
_space_group_IT_number 1
_space_group_name_Hall 'P 1'
_cell_length_a 5.309
_cell_length_b 5.309
_cell_length_c 6.021
_cell_angle_alpha 90.00
_cell_angle_beta 90.00
_cell_angle_gamma 90.00
loop_
_atom_site_label
_atom_site_fract_x
_atom_site_fract_y
_atom_site_fract_z
Ba1 0.000 0.000 0.000
Tl1 0.000 0.000 0.500
V1 0.000 0.500 0.000
V2 0.500 0.000 0.000
P1 0.500 0.500 0.500

***

No. 4
# BaZr2TlP | the Alexandria database | PBE-GGA | relaxed
# - E_form (eV/atom) = -0.14
# - DFT total energy (eV per atom) = -5.496
# - density (Mg/m³) = 6.16
data_BaZr2TlP
_chemical_formula_sum 'Ba1 Zr2 Tl1 P1'
_space_group_name_H-M_alt 'P 1'
_space_group_IT_number 1
_space_group_name_Hall 'P 1'
_cell_length_a 5.035
_cell_length_b 5.035
_cell_length_c 5.905
_cell_angle_alpha 90.00
_cell_angle_beta 90.00
_cell_angle_gamma 90.00
loop_
_atom_site_label
_atom_site_fract_x
_atom_site_fract_y
_atom_site_fract_z
Ba1 0.000 0.000 0.000
Zr1 0.000 0.500 0.500
Zr2 0.500 0.000 0.500
Tl1 0.500 0.500 0.000
P1 0.000 0.000 0.500

***

Repeat the second record exactly.
# Ba2TlP2 | the Alexandria database | PBE-GGA | relaxed
# - E_form (eV/atom) = -0.45
# - DFT total energy (eV per atom) = -3.853
# - density (Mg/m³) = 5.62
data_Ba2TlP2
_chemical_formula_sum 'Ba4 Tl2 P4'
_space_group_name_H-M_alt 'P 1'
_space_group_IT_number 1
_space_group_name_Hall 'P 1'
_cell_length_a 9.243
_cell_length_b 9.243
_cell_length_c 3.740
_cell_angle_alpha 90.00
_cell_angle_beta 90.00
_cell_angle_gamma 90.00
loop_
_atom_site_label
_atom_site_fract_x
_atom_site_fract_y
_atom_site_fract_z
Ba1 0.135 0.365 0.000
Ba2 0.365 0.865 0.000
Ba3 0.635 0.135 0.000
Ba4 0.865 0.635 0.000
Tl1 0.000 0.000 0.000
Tl2 0.500 0.500 0.000
P1 0.165 0.665 0.500
P2 0.335 0.165 0.500
P3 0.665 0.835 0.500
P4 0.835 0.335 0.500

***

- Which formula does entry 4 have?
  BaZr2TlP

***

Copy entry 1 word for word.
# BaTl2P | the Alexandria database | PBE-GGA | relaxed
# - E_form (eV/atom) = -0.27
# - DFT total energy (eV per atom) = -3.288
# - density (Mg/m³) = 7.57
data_BaTl2P
_chemical_formula_sum 'Ba2 Tl4 P2'
_space_group_name_H-M_alt 'P 1'
_space_group_IT_number 1
_space_group_name_Hall 'P 1'
_cell_length_a 4.358
_cell_length_b 5.359
_cell_length_c 10.846
_cell_angle_alpha 90.00
_cell_angle_beta 90.00
_cell_angle_gamma 90.00
loop_
_atom_site_label
_atom_site_fract_x
_atom_site_fract_y
_atom_site_fract_z
Ba1 0.000 0.000 0.000
Ba2 0.500 0.500 0.500
Tl1 0.000 0.000 0.394
Tl2 0.000 0.500 0.207
Tl3 0.500 0.000 0.707
Tl4 0.500 0.500 0.894
P1 0.000 0.500 0.730
P2 0.500 0.000 0.230